{
  "formula": "HfCoSb2I",
  "functional": "GGA-PBE",
  "state": "optimized geometry",
  "lattice_angstrom": [[4.9018, 0.0000, 0.0000], [0.0000, 4.9018, 0.0000], [0.0000, 0.0000, 5.1869]],
  "species": ["Hf", "Co", "Sb", "Sb", "I"],
  "fractional_positions": [[0.0000, 0.0000, 0.0000], [0.5000, 0.5000, 0.5000], [0.0000, 0.5000, 0.5000], [0.5000, 0.0000, 0.5000], [0.5000, 0.5000, 0.0000]],
  "e_form_raw_ev_per_atom": 0.597,
  "relative_energy_ev_per_atom": 0.000,
  "energy_ev_per_atom": -4.77
}